# 1
The following is a PBE calculation of a relaxed structure of NpGaSiPd, from Alexandria via LeMat-Bulk. Values from VASP.

For the total energy, the calculation gives -27.2 eV per cell. As for the crystal system: cubic. The symmetry is No. 216. For the density, the calculation gives 10.1 g/cm³.

The structure in Quantum ESPRESSO input format:
```
&SYSTEM
  ibrav = 0, nat = 4, ntyp = 4
/
ATOMIC_SPECIES
Np 237.00 Np.upf
Ga 69.72 Ga.upf
Si 28.09 Si.upf
Pd 106.42 Pd.upf
ATOMIC_POSITIONS crystal
Np 0.000 0.000 0.000
Ga 0.750 0.750 0.750
Si 0.250 0.250 0.250
Pd 0.500 0.500 0.500
CELL_PARAMETERS angstrom
0.000 3.307 3.307
3.307 0.000 3.307
3.307 3.307 0.000
```

***

# 2
The following is a PBE calculation of a relaxed structure of NpGaSnPd, from Alexandria via LeMat-Bulk. Values from VASP.

As for the crystal system: cubic. The symmetry is No. 216. As for the calculated formation energy: -0.9 eV/f.u. For the density, the calculation gives 10.7 g/cm³.

The structure in Quantum ESPRESSO input format:
```
&SYSTEM
  ibrav = 0, nat = 4, ntyp = 4
/
ATOMIC_SPECIES
Np 237.00 Np.upf
Ga 69.72 Ga.upf
Sn 118.71 Sn.upf
Pd 106.42 Pd.upf
ATOMIC_POSITIONS crystal
Np 0.000 0.000 0.000
Ga 0.750 0.750 0.750
Sn 0.500 0.500 0.500
Pd 0.250 0.250 0.250
CELL_PARAMETERS angstrom
0.000 3.456 3.456
3.456 0.000 3.456
3.456 3.456 0.000
```

***

# 3
The following is a PBE calculation of a relaxed structure of NpZnGa3Pd, from Alexandria via LeMat-Bulk. Values from VASP.

As for the crystal system: orthorhombic. The symmetry is No. 63. As for the calculated formation energy: -0.3 eV/f.u. For the density, the calculation gives 8.5 g/cm³.

The structure in Quantum ESPRESSO input format:
```
&SYSTEM
  ibrav = 0, nat = 12, ntyp = 4
/
ATOMIC_SPECIES
Np 237.00 Np.upf
Zn 65.41 Zn.upf
Ga 69.72 Ga.upf
Pd 106.42 Pd.upf
ATOMIC_POSITIONS crystal
Np 0.159 0.841 0.750
Np 0.841 0.159 0.250
Zn 0.340 0.660 0.750
Zn 0.660 0.340 0.250
Ga 0.251 0.749 0.250
Ga 0.259 0.259 0.000
Ga 0.259 0.259 0.500
Ga 0.741 0.741 0.000
Ga 0.741 0.741 0.500
Ga 0.749 0.251 0.750
Pd 0.105 0.895 0.250
Pd 0.895 0.105 0.750
CELL_PARAMETERS angstrom
2.539 -8.733 0.000
2.539 8.733 0.000
0.000 0.000 5.430
```

***

# 4
The following is a PBE calculation of a relaxed structure of PmNpGa6, from Alexandria via LeMat-Bulk. Values from VASP.

As for the crystal system: orthorhombic. The symmetry is No. 25. As for the calculated formation energy: -2.4 eV/f.u. For the density, the calculation gives 8.2 g/cm³.

The structure in Quantum ESPRESSO input format:
```
&SYSTEM
  ibrav = 0, nat = 8, ntyp = 3
/
ATOMIC_SPECIES
Pm 145.00 Pm.upf
Np 237.00 Np.upf
Ga 69.72 Ga.upf
ATOMIC_POSITIONS crystal
Pm 0.000 0.000 0.000
Np 0.500 0.500 0.241
Ga 0.000 0.252 0.478
Ga 0.000 0.500 0.894
Ga 0.000 0.748 0.478
Ga 0.500 0.000 0.367
Ga 0.500 0.266 0.757
Ga 0.500 0.734 0.757
CELL_PARAMETERS angstrom
4.419 0.000 0.000
0.000 6.141 0.000
0.000 0.000 5.950
```

***

# 5
The following is a PBE calculation of a relaxed structure of PmNpGa2, from Alexandria via LeMat-Bulk. Values from VASP.

As for the crystal system: trigonal. The symmetry is No. 166. As for the calculated formation energy: 0.0 eV/f.u. For the density, the calculation gives 8.6 g/cm³. As for the energy above the most stable polymorph in this dataset: 0.219 eV/atom.

The structure in Quantum ESPRESSO input format:
```
&SYSTEM
  ibrav = 0, nat = 4, ntyp = 3
/
ATOMIC_SPECIES
Pm 145.00 Pm.upf
Np 237.00 Np.upf
Ga 69.72 Ga.upf
ATOMIC_POSITIONS crystal
Pm 0.000 0.000 0.000
Np 0.500 0.500 0.500
Ga 0.249 0.249 0.249
Ga 0.751 0.751 0.751
CELL_PARAMETERS angstrom
1.777 1.026 9.201
-1.777 1.026 9.201
0.000 -2.052 9.201
```

***

# 6
The following is a PBE calculation of a relaxed structure of PmNp4Ga15, from Alexandria via LeMat-Bulk. Values from VASP.

As for the crystal system: tetragonal. The symmetry is No. 123. As for the calculated formation energy: -5.4 eV/f.u. For the density, the calculation gives 9.0 g/cm³.

The structure in Quantum ESPRESSO input format:
```
&SYSTEM
  ibrav = 0, nat = 20, ntyp = 3
/
ATOMIC_SPECIES
Pm 145.00 Pm.upf
Np 237.00 Np.upf
Ga 69.72 Ga.upf
ATOMIC_POSITIONS crystal
Pm 0.000 0.000 0.000
Np 0.000 0.000 0.202
Np 0.000 0.000 0.401
Np 0.000 0.000 0.599
Np 0.000 0.000 0.798
Ga 0.000 0.500 0.104
Ga 0.000 0.500 0.302
Ga 0.000 0.500 0.500
Ga 0.000 0.500 0.698
Ga 0.000 0.500 0.896
Ga 0.500 0.000 0.104
Ga 0.500 0.000 0.302
Ga 0.500 0.000 0.500
Ga 0.500 0.000 0.698
Ga 0.500 0.000 0.896
Ga 0.500 0.500 0.000
Ga 0.500 0.500 0.202
Ga 0.500 0.500 0.400
Ga 0.500 0.500 0.600
Ga 0.500 0.500 0.798
CELL_PARAMETERS angstrom
4.277 0.000 0.000
0.000 4.277 0.000
0.000 0.000 21.455
```